(1)
Below is Hf2TcPb after structural relaxation, with properties calculated at the PBE level.

Calculated values
final energy	-8.143	eV per atom
DOS at the Fermi energy	6.3	states/eV/cell
energy relative to the elements	0.352	eV per atom

Unit cell a=6.248 b=6.248 c=6.248 alpha=102.50 beta=102.50 gamma=124.54
Sites, in units of the cell vectors:
Hf 0.070 0.625 0.945
Hf 0.375 0.320 0.445
Hf 0.680 0.125 0.055
Hf 0.875 0.930 0.555
Tc 0.000 0.000 0.000
Tc 0.750 0.250 0.500
Pb 0.250 0.750 0.500
Pb 0.500 0.500 0.000

***

(2)
Below is Hf2TcPb after structural relaxation, with properties calculated at the PBE level.

Calculated values
final energy	-8.577	eV per atom
DOS at the Fermi energy	2.3	states/eV/cell
energy relative to the elements	-0.081	eV per atom

Unit cell a=9.204 b=9.204 c=9.204 alpha=20.76 beta=20.76 gamma=20.76
Sites, in units of the cell vectors:
Hf 0.237 0.237 0.237
Hf 0.763 0.763 0.763
Tc 0.500 0.500 0.500
Pb 0.000 0.000 0.000

***

(3)
Below is Hf5Tc4Pb after structural relaxation, with properties calculated at the PBE level.

Calculated values
final energy	-9.888	eV per atom
DOS at the Fermi energy	9.1	states/eV/cell
energy relative to the elements	-0.394	eV per atom

Unit cell a=3.280 b=3.280 c=17.663 alpha=90.00 beta=90.00 gamma=90.00
Sites, in units of the cell vectors:
Hf 0.000 0.000 0.000
Hf 0.000 0.000 0.183
Hf 0.000 0.000 0.363
Hf 0.000 0.000 0.637
Hf 0.000 0.000 0.817
Tc 0.500 0.500 0.092
Tc 0.500 0.500 0.280
Tc 0.500 0.500 0.720
Tc 0.500 0.500 0.908
Pb 0.500 0.500 0.500

***

(4)
Below is Hf2TcPb after structural relaxation, with properties calculated at the PBE level.

Calculated values
final energy	-8.736	eV per atom
DOS at the Fermi energy	2.2	states/eV/cell
energy relative to the elements	-0.241	eV per atom

Unit cell a=3.255 b=3.255 c=8.057 alpha=90.00 beta=90.00 gamma=90.00
Sites, in units of the cell vectors:
Hf 0.000 0.000 0.196
Hf 0.000 0.000 0.804
Tc 0.500 0.500 0.000
Pb 0.500 0.500 0.500

***

(5)
Below is Hf4TcPb after structural relaxation, with properties calculated at the PBE level.

Calculated values
final energy	-9.053	eV per atom
DOS at the Fermi energy	13.6	states/eV/cell
energy relative to the elements	-0.071	eV per atom

Unit cell a=7.382 b=7.382 c=5.706 alpha=101.54 beta=101.54 gamma=112.20
Sites, in units of the cell vectors:
Hf 0.065 0.711 0.933
Hf 0.191 0.361 0.641
Hf 0.289 0.935 0.567
Hf 0.361 0.191 0.141
Hf 0.639 0.809 0.859
Hf 0.711 0.065 0.433
Hf 0.809 0.639 0.359
Hf 0.935 0.289 0.067
Tc 0.001 0.999 0.750
Tc 0.999 0.001 0.250
Pb 0.382 0.618 0.250
Pb 0.618 0.382 0.750

***

(6)
Below is Hf2TlTcPb after structural relaxation, with properties calculated at the PBE level.

Calculated values
final energy	-6.803	eV per atom
DOS at the Fermi energy	4.6	states/eV/cell
energy relative to the elements	0.467	eV per atom

Unit cell a=5.021 b=5.021 c=5.303 alpha=90.00 beta=90.00 gamma=90.00
Sites, in units of the cell vectors:
Hf 0.000 0.500 0.000
Hf 0.500 0.000 0.000
Tl 0.000 0.000 0.500
Tc 0.500 0.500 0.000
Pb 0.500 0.500 0.500